Record 1
DFT (PBE-GGA) results for a relaxed structure of HfSe4Cl6.

Unit cell a=11.1806 b=11.1806 c=11.1022 alpha=90.00 beta=90.00 gamma=90.00
With the nearest neighbours (Å) after each atom.
Element x y z (fractional)
Se1 0.6459 0.3541 0.2500  2 Se 2.34
Cl1 0.8007 0.0790 0.8840  1 Hf 2.49
Cl2 0.8007 0.9210 0.3840  1 Hf 2.49
Cl3 0.1993 0.0790 0.3840  1 Hf 2.49
Se2 0.6589 0.1589 0.3246  2 Se 2.34
Se3 0.6459 0.6459 0.7500  2 Se 2.34
Cl4 0.0790 0.8007 0.6160  1 Hf 2.49
Se4 0.1459 0.1459 0.7500  2 Se 2.34
Cl5 0.1218 0.6218 0.8700  1 Hf 2.43
Hf1 0.2500 0.7500 0.7500  6 Cl 2.43-2.49
Cl6 0.8782 0.3782 0.8700  1 Hf 2.43
Cl7 0.5790 0.3007 0.8840  1 Hf 2.49
Hf2 0.7500 0.7500 0.2500  6 Cl 2.43-2.49
Cl8 0.3782 0.8782 0.6300  1 Hf 2.43
Se5 0.8411 0.3411 0.1754  2 Se 2.34
Cl9 0.0790 0.1993 0.1160  1 Hf 2.49
Se6 0.8411 0.6589 0.6754  2 Se 2.34
Cl10 0.6993 0.5790 0.1160  1 Hf 2.49
Se7 0.3411 0.8411 0.3246  2 Se 2.34
Se8 0.3541 0.3541 0.7500  2 Se 2.34
Cl11 0.1993 0.9210 0.8840  1 Hf 2.49
Cl12 0.9210 0.8007 0.1160  1 Hf 2.49
Cl13 0.8782 0.6218 0.3700  1 Hf 2.43
Se9 0.1459 0.8541 0.2500  2 Se 2.34
Cl14 0.4210 0.3007 0.3840  1 Hf 2.49
Cl15 0.4210 0.6993 0.8840  1 Hf 2.49
Hf3 0.7500 0.2500 0.7500  6 Cl 2.43-2.49
Se10 0.3541 0.6459 0.2500  2 Se 2.34
Cl16 0.1218 0.3782 0.3700  1 Hf 2.43
Cl17 0.6218 0.8782 0.1300  1 Hf 2.43
Cl18 0.3007 0.5790 0.6160  1 Hf 2.49
Cl19 0.6218 0.1218 0.6300  1 Hf 2.43
Se11 0.3411 0.1589 0.8246  2 Se 2.34
Se12 0.8541 0.1459 0.2500  2 Se 2.34
Se13 0.1589 0.6589 0.1754  2 Se 2.34
Cl20 0.5790 0.6993 0.3840  1 Hf 2.49
Se14 0.8541 0.8541 0.7500  2 Se 2.34
Cl21 0.6993 0.4210 0.6160  1 Hf 2.49
Cl22 0.3782 0.1218 0.1300  1 Hf 2.43
Se15 0.1589 0.3411 0.6754  2 Se 2.34
Cl23 0.3007 0.4210 0.1160  1 Hf 2.49
Se16 0.6589 0.8411 0.8246  2 Se 2.34
Hf4 0.2500 0.2500 0.2500  6 Cl 2.43-2.49
Cl24 0.9210 0.1993 0.6160  1 Hf 2.49

ΔE_f (raw): -942.6 meV per atom
calculated total energy: -181.36 eV for the cell shown

---

Record 2
DFT (PBE-GGA) results for a relaxed structure of ScAl2W.

Unit cell a=4.5606 b=4.5606 c=4.5606 alpha=60.00 beta=60.00 gamma=60.00
With the nearest neighbours (Å) after each atom.
Element x y z (fractional)
Al1 0.0000 0.0000 0.0000  4 W 2.79, 4 Al 2.79
Sc1 0.5000 0.5000 0.5000  4 W 2.79, 4 Al 2.79
W1 0.2500 0.2500 0.2500  4 Al 2.79, 4 Sc 2.79
Al2 0.7500 0.7500 0.7500  4 Al 2.79, 4 Sc 2.79

calculated formation energy: 12.93 kJ per mole of atoms
calculated total energy: -26.23 eV for the cell shown
offset from the most stable computed form: 0.337 eV per atom

---

Record 3
DFT (PBE-GGA) results for a relaxed structure of Zr2ZnFe.

Unit cell a=7.2760 b=7.2760 c=5.8486 alpha=51.54 beta=51.54 gamma=90.00
With the nearest neighbours (Å) after each atom.
Element x y z (fractional)
Zr1 0.1660 0.6250 0.2500  2 Fe 2.47
Zr2 0.3750 0.4160 0.7500  2 Fe 2.47
Zn1 0.0000 0.0000 0.0000  2 Fe 2.78, 4 Zr 2.88
Zn2 0.7500 0.2500 0.5000  2 Fe 2.78, 4 Zr 2.88
Fe1 0.5000 0.5000 0.0000  4 Zr 2.47
Fe2 0.2500 0.7500 0.5000  4 Zr 2.47
Zr3 0.5840 0.1250 0.2500  2 Fe 2.47
Zr4 0.8750 0.8340 0.7500  2 Fe 2.47

calculated formation energy: 20.82 kJ per mole of atoms
calculated total energy: -51.94 eV for the cell shown